# Er2MgCd

A geometry-optimized Er2MgCd structure (GGA-PBEsol, Alexandria).

Cell and atoms, written as CIF:
```
data_Er2MgCd
_chemical_formula_sum 'Er8 Mg4 Cd4'
_cell_length_a 7.349
_cell_length_b 7.349
_cell_length_c 7.349
_cell_angle_alpha 90.00
_cell_angle_beta 90.00
_cell_angle_gamma 90.00
_symmetry_space_group_name_H-M 'F m -3 m'
_symmetry_Int_Tables_number 225
_symmetry_space_group_name_Hall '-F 4 2 3'
loop_
_atom_site_label
_atom_site_fract_x
_atom_site_fract_y
_atom_site_fract_z
Er1 0.250 0.250 0.250
Mg1 0.000 0.000 0.000
Cd1 0.000 0.000 0.500
```

Calculated volume (Å³/atom): 24.81
Total DFT energy (no corrections) (eV per atom): -3.387
ΔE_f (eV/atom): -0.1945

=====

# Mn8Nb3Al

A geometry-optimized Mn8Nb3Al structure (GGA-PBEsol, Alexandria).

Cell and atoms, written as CIF:
```
data_Mn8Nb3Al
_chemical_formula_sum 'Mn8 Nb3 Al1'
_cell_length_a 4.7141
_cell_length_b 4.7141
_cell_length_c 7.7768
_cell_angle_alpha 90.00
_cell_angle_beta 90.00
_cell_angle_gamma 120.00
_symmetry_space_group_name_H-M 'P 3 m 1'
_symmetry_Int_Tables_number 156
_symmetry_space_group_name_Hall 'P 3 -2"'
loop_
_atom_site_label
_atom_site_fract_x
_atom_site_fract_y
_atom_site_fract_z
Mn1 0.0000 0.0000 0.0000
Mn2 0.0000 0.0000 0.4912
Mn3 0.1730 0.3460 0.2498
Mn4 0.3412 0.1706 0.7530
Nb1 0.3333 0.6667 0.5786
Nb2 0.6667 0.3333 0.0588
Nb3 0.6667 0.3333 0.4367
Al1 0.3333 0.6667 0.9408
```

Calculated volume (Å³/atom): 12.47
Total DFT energy (no corrections) (eV per atom): -9.741
ΔE_f (eV/atom): -0.1876

=====

# ZnAg2Te

A geometry-optimized ZnAg2Te structure (GGA-PBEsol, Alexandria).

Cell and atoms, written as CIF:
```
data_ZnAg2Te
_chemical_formula_sum 'Zn4 Ag8 Te4'
_cell_length_a 6.785
_cell_length_b 6.785
_cell_length_c 6.785
_cell_angle_alpha 90.00
_cell_angle_beta 90.00
_cell_angle_gamma 90.00
_symmetry_space_group_name_H-M 'F m -3 m'
_symmetry_Int_Tables_number 225
_symmetry_space_group_name_Hall '-F 4 2 3'
loop_
_atom_site_label
_atom_site_fract_x
_atom_site_fract_y
_atom_site_fract_z
Zn1 0.000 0.000 0.000
Ag1 0.250 0.250 0.250
Te1 0.000 0.000 0.500
```

Energy relative to the elements, uncorrected (eV/atom): 0.17
Calculated volume (Å³/atom): 19.52
Total DFT energy (no corrections) (eV per atom): -2.764
Relative energy among the computed polymorphs (eV per atom): 0.118

=====

# MgMo3H

A geometry-optimized MgMo3H structure (GGA-PBEsol, Alexandria).

Cell and atoms, written as CIF:
```
data_MgMo3H
_chemical_formula_sum 'Mg1 Mo3 H1'
_cell_length_a 4.024
_cell_length_b 4.024
_cell_length_c 4.024
_cell_angle_alpha 90.00
_cell_angle_beta 90.00
_cell_angle_gamma 90.00
_symmetry_space_group_name_H-M 'P m -3 m'
_symmetry_Int_Tables_number 221
_symmetry_space_group_name_Hall '-P 4 2 3'
loop_
_atom_site_label
_atom_site_fract_x
_atom_site_fract_y
_atom_site_fract_z
Mg1 0.000 0.000 0.000
Mo1 0.000 0.500 0.500
H1 0.500 0.500 0.500
```

Calculated volume (Å³/atom): 13.03
Total DFT energy (no corrections) (eV per atom): -7.727

=====

# Ta2GeO

A geometry-optimized Ta2GeO structure (GGA-PBEsol, Alexandria).

Cell and atoms, written as CIF:
```
data_Ta2GeO
_chemical_formula_sum 'Ta8 Ge4 O4'
_cell_length_a 6.051
_cell_length_b 6.051
_cell_length_c 6.051
_cell_angle_alpha 90.00
_cell_angle_beta 90.00
_cell_angle_gamma 90.00
_symmetry_space_group_name_H-M 'F m -3 m'
_symmetry_Int_Tables_number 225
_symmetry_space_group_name_Hall '-F 4 2 3'
loop_
_atom_site_label
_atom_site_fract_x
_atom_site_fract_y
_atom_site_fract_z
Ta1 0.250 0.250 0.250
Ge1 0.000 0.000 0.000
O1 0.000 0.000 0.500
```

Energy relative to the elements, uncorrected (eV/atom): -0.32
Calculated volume (Å³/atom): 13.85
Total DFT energy (no corrections) (eV per atom): -9.144

=====

# LiSnF3

A geometry-optimized LiSnF3 structure (GGA-PBEsol, Alexandria).

Cell and atoms, written as CIF:
```
data_LiSnF3
_chemical_formula_sum 'Li1 Sn1 F3'
_cell_length_a 3.816
_cell_length_b 3.816
_cell_length_c 3.816
_cell_angle_alpha 90.00
_cell_angle_beta 90.00
_cell_angle_gamma 90.00
_symmetry_space_group_name_H-M 'P m -3 m'
_symmetry_Int_Tables_number 221
_symmetry_space_group_name_Hall '-P 4 2 3'
loop_
_atom_site_label
_atom_site_fract_x
_atom_site_fract_y
_atom_site_fract_z
Li1 0.000 0.000 0.000
Sn1 0.500 0.500 0.500
F1 0.000 0.000 0.500
```

Energy relative to the elements, uncorrected (eV/atom): -2.45
Calculated volume (Å³/atom): 11.12
Total DFT energy (no corrections) (eV per atom): -4.849
Relative energy among the computed polymorphs (eV per atom): 0.000

=====

# Sb2IrSe

A geometry-optimized Sb2IrSe structure (GGA-PBEsol, Alexandria).

Cell and atoms, written as CIF:
```
data_Sb2IrSe
_chemical_formula_sum 'Sb2 Ir1 Se1'
_cell_length_a 3.326
_cell_length_b 3.326
_cell_length_c 7.333
_cell_angle_alpha 90.00
_cell_angle_beta 90.00
_cell_angle_gamma 90.00
_symmetry_space_group_name_H-M 'P 4/m m m'
_symmetry_Int_Tables_number 123
_symmetry_space_group_name_Hall '-P 4 2'
loop_
_atom_site_label
_atom_site_fract_x
_atom_site_fract_y
_atom_site_fract_z
Sb1 0.000 0.000 0.220
Ir1 0.500 0.500 0.000
Se1 0.500 0.500 0.500
```

Energy relative to the elements, uncorrected (eV/atom): 0.11
Calculated volume (Å³/atom): 20.28
Total DFT energy (no corrections) (eV per atom): -5.587

=====

# AgP5

A geometry-optimized AgP5 structure (GGA-PBEsol, Alexandria).

Cell and atoms, written as CIF:
```
data_AgP5
_chemical_formula_sum 'Ag4 P20'
_cell_length_a 7.205
_cell_length_b 7.205
_cell_length_c 7.205
_cell_angle_alpha 90.00
_cell_angle_beta 90.00
_cell_angle_gamma 90.00
_symmetry_space_group_name_H-M 'F -4 3 m'
_symmetry_Int_Tables_number 216
_symmetry_space_group_name_Hall 'F -4 2 3'
loop_
_atom_site_label
_atom_site_fract_x
_atom_site_fract_y
_atom_site_fract_z
Ag1 0.000 0.000 0.000
P1 0.117 0.117 0.383
P2 0.250 0.250 0.750
```

Calculated volume (Å³/atom): 15.59
Total DFT energy (no corrections) (eV per atom): -4.638
Relative energy among the computed polymorphs (eV per atom): 0.372
ΔE_f (eV/atom): 0.7404

=====

# Li2RhPb

A geometry-optimized Li2RhPb structure (GGA-PBEsol, Alexandria).

Cell and atoms, written as CIF:
```
data_Li2RhPb
_chemical_formula_sum 'Li8 Rh4 Pb4'
_cell_length_a 3.833
_cell_length_b 3.833
_cell_length_c 19.296
_cell_angle_alpha 90.00
_cell_angle_beta 90.00
_cell_angle_gamma 90.00
_symmetry_space_group_name_H-M 'I -4 2 d'
_symmetry_Int_Tables_number 122
_symmetry_space_group_name_Hall 'I -4 2bw'
loop_
_atom_site_label
_atom_site_fract_x
_atom_site_fract_y
_atom_site_fract_z
Li1 0.222 0.250 0.125
Rh1 0.000 0.000 0.000
Pb1 0.000 0.000 0.500
```

Calculated volume (Å³/atom): 17.72
Total DFT energy (no corrections) (eV per atom): -4.031
ΔE_f (eV/atom): -0.0134

=====

# CaFeC3

A geometry-optimized CaFeC3 structure (GGA-PBEsol, Alexandria).

Cell and atoms, written as CIF:
```
data_CaFeC3
_chemical_formula_sum 'Ca1 Fe1 C3'
_cell_length_a 4.188
_cell_length_b 4.188
_cell_length_c 4.188
_cell_angle_alpha 90.00
_cell_angle_beta 90.00
_cell_angle_gamma 90.00
_symmetry_space_group_name_H-M 'P m -3 m'
_symmetry_Int_Tables_number 221
_symmetry_space_group_name_Hall '-P 4 2 3'
loop_
_atom_site_label
_atom_site_fract_x
_atom_site_fract_y
_atom_site_fract_z
Ca1 0.000 0.000 0.000
Fe1 0.500 0.500 0.500
C1 0.000 0.000 0.500
```

Calculated volume (Å³/atom): 14.69
Total DFT energy (no corrections) (eV per atom): -4.400
Relative energy among the computed polymorphs (eV per atom): 2.390
ΔE_f (eV/atom): 3.6058

=====

# K3NaIn

A geometry-optimized K3NaIn structure (GGA-PBEsol, Alexandria).

Cell and atoms, written as CIF:
```
data_K3NaIn
_chemical_formula_sum 'K3 Na1 In1'
_cell_length_a 6.594
_cell_length_b 6.594
_cell_length_c 6.594
_cell_angle_alpha 90.00
_cell_angle_beta 90.00
_cell_angle_gamma 90.00
_symmetry_space_group_name_H-M 'P m -3 m'
_symmetry_Int_Tables_number 221
_symmetry_space_group_name_Hall '-P 4 2 3'
loop_
_atom_site_label
_atom_site_fract_x
_atom_site_fract_y
_atom_site_fract_z
K1 0.000 0.000 0.500
Na1 0.000 0.000 0.000
In1 0.500 0.500 0.500
```

Calculated volume (Å³/atom): 57.34
Total DFT energy (no corrections) (eV per atom): -1.193
ΔE_f (eV/atom): 0.3635

=====

# Ti6In2Si2P12O49

A geometry-optimized Ti6In2Si2P12O49 structure (GGA-PBEsol, Alexandria).

Cell and atoms, written as CIF:
```
data_Ti6In2Si2P12O49
_chemical_formula_sum 'Ti18 In6 Si6 P36 O147'
_cell_length_a 8.5272
_cell_length_b 8.5272
_cell_length_c 44.8019
_cell_angle_alpha 90.00
_cell_angle_beta 90.00
_cell_angle_gamma 120.00
_symmetry_space_group_name_H-M 'R -3'
_symmetry_Int_Tables_number 148
_symmetry_space_group_name_Hall '-R 3'
loop_
_atom_site_label
_atom_site_fract_x
_atom_site_fract_y
_atom_site_fract_z
Ti1 0.0000 0.0000 0.0696
Ti2 0.0000 0.0000 0.2436
Ti3 0.0000 0.0000 0.3440
In1 0.0000 0.0000 0.1729
Si1 0.0000 0.0000 0.4642
P1 0.9998 0.2938 0.8774
P2 0.0010 0.7154 0.2928
O1 0.0000 0.0000 0.5000
O2 0.0023 0.8161 0.0962
O3 0.0040 0.8162 0.9531
O4 0.0142 0.8311 0.4508
O5 0.0314 0.8309 0.2638
O6 0.0374 0.8478 0.7902
O7 0.0386 0.8017 0.1527
O8 0.0540 0.2076 0.3678
O9 0.0576 0.2065 0.6819
```

Energy relative to the elements, uncorrected (eV/atom): -2.48
Calculated volume (Å³/atom): 13.25
Total DFT energy (no corrections) (eV per atom): -8.030